The following is a PBE calculation of a geometry-optimized Er4Al3Ga structure, from Alexandria.

Cell lengths 3.5556, 3.5556, 14.2867 Å; angles 90.00, 90.00, 90.00 degrees
Atoms (fractional coordinates):
Al1 0.5000 0.5000 0.2498
Al2 0.5000 0.5000 0.5000
Al3 0.5000 0.5000 0.7502
Ga1 0.5000 0.5000 0.0000
Er1 0.0000 0.0000 0.8764
Er2 0.0000 0.0000 0.1236
Er3 0.0000 0.0000 0.3750
Er4 0.0000 0.0000 0.6250

Results
ΔH_f (0 K): -437 meV/atom
N(E_F): 3.74 states/eV/cell
V: 180.6 Å³/f.u.
size of the total moment: 0.00 μB/f.u.